Entry 1:
Here is a geometry-optimized Ta2NbCuAs structure from Alexandria via LeMat-Bulk. Energies are from PBE.

Cell and atoms, written as POSCAR:
```
Ta2NbCuAs
1.0
4.721 0.000 0.000
0.000 4.724 0.000
0.000 0.000 4.721
Nb As Cu Ta
1 1 1 2
direct
0.000 0.500 0.000
0.000 0.000 0.000
0.500 0.500 0.500
0.000 0.000 0.500
0.500 0.000 0.000
```


Entry 2:
Here is a geometry-optimized TiNb2CuAs structure from Alexandria via LeMat-Bulk. Energies are from PBE.

Cell and atoms, written as POSCAR:
```
TiNb2CuAs
1.0
4.770 0.000 0.000
0.000 4.210 0.000
0.000 0.000 4.770
Nb As Cu Ti
2 1 1 1
direct
0.000 0.000 0.500
0.500 0.000 0.000
0.000 0.500 0.000
0.000 0.000 0.000
0.500 0.500 0.500
```


no.,energy relative to the elements (eV/atom)
1,1.06
2,0.88